Material: Tb3ErGa
Method: DFT, GGA-PBE
State: relaxed

a = 7.404 Å, b = 7.404 Å, c = 7.692 Å
α = 120.93°, β = 120.93°, γ = 74.07°
Fractional positions:
Tb  0.055  0.055  0.331
Tb  0.089  0.472  0.247
Tb  0.472  0.089  0.247
Tb  0.528  0.911  0.753
Tb  0.911  0.528  0.753
Tb  0.945  0.945  0.669
Er  0.434  0.434  0.733
Er  0.566  0.566  0.267
Ga  0.256  0.256  0.886
Ga  0.744  0.744  0.114

Summary:
- Calculated volume: 310.3 Å³ per cell
- Mass density: 7.64 Mg/m³
- E_tot: -43.6 eV/cell